# Sr3Co2O6, relaxed, DFT PBE+U
# energy above the lowest structure with this stoichiometry: 65 meV per atom
data_Sr3Co2O6
_space_group_name_H-M_alt 'I 4/m m m'
_space_group_IT_number 139
_space_group_name_Hall '-I 4 2'
_cell_length_a 3.8695
_cell_length_b 3.8695
_cell_length_c 20.3326
_cell_angle_alpha 90.00
_cell_angle_beta 90.00
_cell_angle_gamma 90.00
loop_
_atom_site_label
_atom_site_type_symbol
_atom_site_fract_x
_atom_site_fract_y
_atom_site_fract_z
Sr1 Sr 0.0000 0.0000 0.0000
Sr2 Sr 0.0000 0.0000 0.1814
Co1 Co 0.0000 0.0000 0.4001
O1 O 0.0000 0.0000 0.3034
O2 O 0.0000 0.5000 0.0845